## SrAsSe (GGA-PBE)

Data for a relaxed structure of SrAsSe.

It has space group F-43m (No. 216), with a = 7.104 Å, b = 7.104 Å, c = 7.104 Å, α = 90.00°, β = 90.00° and γ = 90.00°. The distinct sites, in fractional coordinates, are Sr at (0.000, 0.000, 0.000), As at (0.000, 0.000, 0.500) and Se at (0.250, 0.250, 0.750).

The total moment comes out at 0.00 μB/cell. The value obtained for the uncorrected formation energy is -150 kJ/mol of formula units.